(1)
A plane-wave DFT calculation with PBE-GGA was carried out for a relaxed Ta2Ni7As2Pt crystal.

```
data_Ta2Ni7As2Pt
_chemical_formula_sum 'Ta4 Ni14 As4 Pt2'
_symmetry_space_group_name_H-M 'C 1 2/m 1'
_symmetry_Int_Tables_number 12
_cell_length_a 5.089
_cell_length_b 5.049
_cell_length_c 12.884
_cell_angle_alpha 90.00
_cell_angle_beta 90.07
_cell_angle_gamma 90.00
loop_
_symmetry_equiv_pos_as_xyz
'x,y,z'
'-x,-y,-z'
'-x,y,-z'
'x,-y,z'
'x+1/2,y+1/2,z'
'-x+1/2,-y+1/2,-z'
'-x+1/2,y+1/2,-z'
'x+1/2,-y+1/2,z'
loop_
_atom_site_label
_atom_site_type_symbol
_atom_site_fract_x
_atom_site_fract_y
_atom_site_fract_z
Ta1 Ta 0.001 0.000 0.292
Ni1 Ni 0.000 0.000 0.000
Ni2 Ni 0.232 0.000 0.499
Ni3 Ni 0.249 0.250 0.854
As1 As 0.001 0.500 0.352
Pt1 Pt 0.000 0.500 0.000
```

Calculated values
ΔE_f: -75 meV per atom
density of states at the Fermi level: 1.05 states/eV/atom

(2)
A plane-wave DFT calculation with PBE-GGA was carried out for a relaxed Tb2Ni4As3Pt crystal.

```
data_Tb2Ni4As3Pt
_chemical_formula_sum 'Tb2 Ni4 As3 Pt1'
_symmetry_space_group_name_H-M 'P -4 m 2'
_symmetry_Int_Tables_number 115
_cell_length_a 4.034
_cell_length_b 4.034
_cell_length_c 10.007
_cell_angle_alpha 90.00
_cell_angle_beta 90.00
_cell_angle_gamma 90.00
loop_
_symmetry_equiv_pos_as_xyz
'x,y,z'
'y,-x,-z'
'-x,-y,z'
'-y,x,-z'
'-x,y,z'
'-y,-x,-z'
'x,-y,z'
'y,x,-z'
loop_
_atom_site_label
_atom_site_type_symbol
_atom_site_fract_x
_atom_site_fract_y
_atom_site_fract_z
Tb1 Tb 0.000 0.500 0.247
Ni1 Ni 0.000 0.000 0.000
Ni2 Ni 0.000 0.500 0.644
Ni3 Ni 0.500 0.500 0.000
As1 As 0.000 0.500 0.872
As2 As 0.500 0.500 0.500
Pt1 Pt 0.000 0.000 0.500
```

Calculated values
ΔE_f: -750 meV per atom
density of states at the Fermi level: 0.81 states/eV/atom

(3)
A plane-wave DFT calculation with PBE-GGA was carried out for a relaxed Th2NiAs4Pt3 crystal.

```
data_Th2NiAs4Pt3
_chemical_formula_sum 'Th2 Ni1 As4 Pt3'
_symmetry_space_group_name_H-M 'P -4 m 2'
_symmetry_Int_Tables_number 115
_cell_length_a 4.287
_cell_length_b 4.287
_cell_length_c 10.477
_cell_angle_alpha 90.00
_cell_angle_beta 90.00
_cell_angle_gamma 90.00
loop_
_symmetry_equiv_pos_as_xyz
'x,y,z'
'y,-x,-z'
'-x,-y,z'
'-y,x,-z'
'-x,y,z'
'-y,-x,-z'
'x,-y,z'
'y,x,-z'
loop_
_atom_site_label
_atom_site_type_symbol
_atom_site_fract_x
_atom_site_fract_y
_atom_site_fract_z
Th1 Th 0.000 0.500 0.235
Ni1 Ni 0.500 0.500 0.000
As1 As 0.000 0.000 0.500
As2 As 0.000 0.500 0.876
As3 As 0.500 0.500 0.500
Pt1 Pt 0.000 0.000 0.000
Pt2 Pt 0.000 0.500 0.643
```

Calculated values
ΔE_f: -823 meV per atom
density of states at the Fermi level: 0.34 states/eV/atom

(4)
A plane-wave DFT calculation with PBE-GGA was carried out for a relaxed ThNi5As2Pt crystal.

```
data_ThNi5As2Pt
_chemical_formula_sum 'Th1 Ni5 As2 Pt1'
_symmetry_space_group_name_H-M 'P 4/m m m'
_symmetry_Int_Tables_number 123
_symmetry_space_group_name_Hall '-P 4 2'
_cell_length_a 3.950
_cell_length_b 3.950
_cell_length_c 9.842
_cell_angle_alpha 90.00
_cell_angle_beta 90.00
_cell_angle_gamma 90.00
loop_
_atom_site_label
_atom_site_type_symbol
_atom_site_fract_x
_atom_site_fract_y
_atom_site_fract_z
Th1 Th 0.000 0.000 0.000
Ni1 Ni 0.000 0.500 0.344
Ni2 Ni 0.500 0.500 0.000
As1 As 0.500 0.500 0.225
Pt1 Pt 0.000 0.000 0.500
```

Calculated values
ΔE_f: -166 meV per atom
density of states at the Fermi level: 1.06 states/eV/atom

(5)
A plane-wave DFT calculation with PBE-GGA was carried out for a relaxed Y2Ni3As4Pt crystal.

```
data_Y2Ni3As4Pt
_chemical_formula_sum 'Y2 Ni3 As4 Pt1'
_symmetry_space_group_name_H-M 'P -4 m 2'
_symmetry_Int_Tables_number 115
_cell_length_a 4.234
_cell_length_b 4.234
_cell_length_c 9.499
_cell_angle_alpha 90.00
_cell_angle_beta 90.00
_cell_angle_gamma 90.00
loop_
_symmetry_equiv_pos_as_xyz
'x,y,z'
'y,-x,-z'
'-x,-y,z'
'-y,x,-z'
'-x,y,z'
'-y,-x,-z'
'x,-y,z'
'y,x,-z'
loop_
_atom_site_label
_atom_site_type_symbol
_atom_site_fract_x
_atom_site_fract_y
_atom_site_fract_z
Y1 Y 0.000 0.500 0.246
Ni1 Ni 0.000 0.500 0.884
Ni2 Ni 0.500 0.500 0.500
As1 As 0.000 0.000 0.000
As2 As 0.000 0.500 0.641
As3 As 0.500 0.500 0.000
Pt1 Pt 0.000 0.000 0.500
```

Calculated values
ΔE_f: -792 meV per atom
density of states at the Fermi level: 0.36 states/eV/atom

(6)
A plane-wave DFT calculation with PBE-GGA was carried out for a relaxed Pu2Ni3As4 crystal.

```
data_Pu2Ni3As4
_chemical_formula_sum 'Pu8 Ni12 As16'
_symmetry_space_group_name_H-M 'C m c e'
_symmetry_Int_Tables_number 64
_symmetry_space_group_name_Hall '-C 2ac 2'
_cell_length_a 5.611
_cell_length_b 14.648
_cell_length_c 7.320
_cell_angle_alpha 90.00
_cell_angle_beta 90.00
_cell_angle_gamma 90.00
loop_
_atom_site_label
_atom_site_type_symbol
_atom_site_fract_x
_atom_site_fract_y
_atom_site_fract_z
Pu1 Pu 0.000 0.112 0.086
Ni1 Ni 0.000 0.000 0.500
Ni2 Ni 0.250 0.215 0.750
As1 As 0.000 0.191 0.456
As2 As 0.250 0.051 0.750
```

Calculated values
ΔE_f: -606 meV per atom
density of states at the Fermi level: 2.34 states/eV/atom